## MnTlAs2O8 (PBE with a Hubbard U)

Data for MnTlAs2O8 after structural relaxation.

Structure (POSCAR):
```
MnTlAs2O8
1.0
2.4711 1.4267 8.6329
-2.4711 1.4267 8.6329
0.0000 -2.8534 8.6329
Mn Tl As O
1 1 2 8
direct
0.0000 0.0000 0.0000
0.5000 0.5000 0.5000
0.2640 0.2640 0.2640
0.7360 0.7360 0.7360
0.0255 0.3642 0.7582
0.1977 0.1977 0.1977
0.2418 0.6358 0.9745
0.3642 0.7582 0.0255
0.6358 0.9745 0.2418
0.7582 0.0255 0.3642
0.8023 0.8023 0.8023
0.9745 0.2418 0.6358
```

Values from the calculation:
Theoretical density (g/cm³): 4.88
DOS(E_F) (states/eV per cell): 7.1
Total moment (μB per formula unit): 1.9
Uncorrected energy (eV/atom): -5.844